PrScCuTc PBE optimized geometry; space-group type = F-43m; M_tot = 0.00 μB/cell; ΔE_f = -0.004 eV/atom
1.0
6.8383 0.0000 0.0000
0.0000 6.8383 0.0000
0.0000 0.0000 6.8383
Pr Sc Cu Tc
4 4 4 4
Direct
0.0000 0.0000 0.0000 Pr
0.0000 0.5000 0.5000 Pr
0.5000 0.0000 0.5000 Pr
0.5000 0.5000 0.0000 Pr
0.0000 0.0000 0.5000 Sc
0.0000 0.5000 0.0000 Sc
0.5000 0.0000 0.0000 Sc
0.5000 0.5000 0.5000 Sc
0.2500 0.2500 0.2500 Cu
0.2500 0.7500 0.7500 Cu
0.7500 0.2500 0.7500 Cu
0.7500 0.7500 0.2500 Cu
0.2500 0.2500 0.7500 Tc
0.2500 0.7500 0.2500 Tc
0.7500 0.2500 0.2500 Tc
0.7500 0.7500 0.7500 Tc



Pr2ScCuTe5 PBE optimized geometry; space-group type = Cmc2_1; M_tot = 0.00 μB/cell; energy relative to the elements, uncorrected = -1.18 eV per atom
1.0
2.1419 -9.4721 0.0000
2.1419 9.4721 0.0000
0.0000 0.0000 12.8600
Pr Sc Cu Te
4 2 2 10
Direct
0.1104 0.8896 0.5000 Pr
0.1262 0.8738 0.1180 Pr
0.8738 0.1262 0.6180 Pr
0.8896 0.1104 0.0000 Pr
0.1884 0.8116 0.8223 Sc
0.8116 0.1884 0.3223 Sc
0.4250 0.5750 0.2691 Cu
0.5750 0.4250 0.7691 Cu
0.0449 0.9551 0.8741 Te
0.2856 0.7144 0.4757 Te
0.3071 0.6929 0.1603 Te
0.3487 0.6513 0.8121 Te
0.4999 0.5001 0.0988 Te
0.5001 0.4999 0.5988 Te
0.6513 0.3487 0.3121 Te
0.6929 0.3071 0.6603 Te
0.7144 0.2856 0.9757 Te
0.9551 0.0449 0.3741 Te



Pr2ScZn3Cu12 PBE optimized geometry; space-group type = R-3m; M_tot = 0.00 μB/cell; ΔE_f = 0.304 eV/atom
1.0
4.0863 2.3592 5.9207
-4.0863 2.3592 5.9207
0.0000 -4.7184 5.9207
Pr Sc Zn Cu
2 1 3 12
Direct
0.0944 0.0944 0.0944 Pr
0.9056 0.9056 0.9056 Pr
0.5000 0.5000 0.5000 Sc
0.0000 0.5000 0.5000 Zn
0.5000 0.0000 0.5000 Zn
0.5000 0.5000 0.0000 Zn
0.1338 0.6484 0.6484 Cu
0.1433 0.1433 0.4901 Cu
0.1433 0.4901 0.1433 Cu
0.3516 0.3516 0.8662 Cu
0.3516 0.8662 0.3516 Cu
0.4901 0.1433 0.1433 Cu
0.5099 0.8567 0.8567 Cu
0.6484 0.1338 0.6484 Cu
0.6484 0.6484 0.1338 Cu
0.8567 0.5099 0.8567 Cu
0.8567 0.8567 0.5099 Cu
0.8662 0.3516 0.3516 Cu



Number 1: DOS(E_F) 3.940 states/eV/f.u.. Number 2: DOS(E_F) 0.076 states/eV/f.u.. Number 3: DOS(E_F) 9.917 states/eV/f.u..